(1)
DFT (GGA-PBE) results for an optimized crystal structure of LiSm5Ho4.

Output
E_form = 0.86 kcal/mol of atoms

Cell: 3.5940 3.5940 24.2216 Å, 90.00 90.00 90.00°
With the nearest neighbours (Å) after each atom.
Positions (direct):
Sm 0.5000 0.5000 0.5000  8 Ho 3.58, 4 Sm 3.59
Sm 0.5000 0.5000 0.9134  4 Li 3.30, 4 Ho 3.54, 4 Sm 3.59
Sm 0.5000 0.5000 0.0866  4 Li 3.30, 4 Ho 3.54, 4 Sm 3.59
Sm 0.5000 0.5000 0.2925  8 Ho 3.57-3.58, 4 Sm 3.59
Sm 0.5000 0.5000 0.7075  8 Ho 3.57-3.58, 4 Sm 3.59
Ho 0.0000 0.0000 0.6039  8 Sm 3.57-3.58, 4 Ho 3.59
Ho 0.0000 0.0000 0.8115  8 Sm 3.54-3.58, 4 Ho 3.59
Ho 0.0000 0.0000 0.3961  8 Sm 3.57-3.58, 4 Ho 3.59
Ho 0.0000 0.0000 0.1885  8 Sm 3.54-3.58, 4 Ho 3.59
Li 0.0000 0.0000 0.0000  8 Sm 3.30, 4 Li 3.59

---

(2)
DFT (GGA-PBE) results for an optimized crystal structure of LiSmHoSn.

Output
E_form = -9.68 kcal/mol of atoms

Cell: 5.2558 5.2558 5.2558 Å, 60.00 60.00 60.00°
With the nearest neighbours (Å) after each atom.
Positions (direct):
Li 0.7500 0.7500 0.7500  4 Ho 3.22, 4 Sm 3.22
Sn 0.2500 0.2500 0.2500  4 Sm 3.22, 4 Ho 3.22
Sm 0.0000 0.0000 0.0000  4 Li 3.22, 4 Sn 3.22
Ho 0.5000 0.5000 0.5000  4 Sn 3.22, 4 Li 3.22

---

(3)
DFT (GGA-PBE) results for an optimized crystal structure of Li2SmHo2Sn2.

Output
E_form = -10.51 kcal/mol of atoms

Cell: 4.7964 4.7964 9.2887 Å, 75.04 75.04 60.00°
With the nearest neighbours (Å) after each atom.
Positions (direct):
Sm 0.0000 0.0000 0.0000  6 Sn 3.37, 6 Li 3.40, 2 Ho 3.45
Ho 0.8702 0.8702 0.3895  3 Li 3.14, 4 Sn 3.16-3.49, 3 Ho 3.39, 1 Sm 3.45
Ho 0.1298 0.1298 0.6105  3 Li 3.14, 4 Sn 3.16-3.49, 3 Ho 3.39, 1 Sm 3.45
Sn 0.7390 0.7390 0.7831  3 Li 2.77
Sn 0.2610 0.2610 0.2169  3 Li 2.77
Li 0.4072 0.4072 0.7783  3 Sn 2.77
Li 0.5928 0.5928 0.2217  3 Sn 2.77

---

(4)
DFT (GGA-PBE) results for an optimized crystal structure of Li2Sm2HoSn2.

Output
E_form = -10.46 kcal/mol of atoms

Cell: 4.7821 4.7821 9.4431 Å, 75.33 75.33 60.00°
With the nearest neighbours (Å) after each atom.
Positions (direct):
Sn 0.2663 0.2663 0.2012  3 Li 2.76
Sn 0.7337 0.7337 0.7988  3 Li 2.76
Li 0.3961 0.3961 0.8118  3 Sn 2.76
Li 0.6039 0.6039 0.1882  3 Sn 2.76
Sm 0.8720 0.8720 0.3839  3 Sn 3.22, 3 Li 3.28, 1 Ho 3.47, 3 Sm 3.47
Sm 0.1280 0.1280 0.6161  3 Sn 3.22, 3 Li 3.28, 1 Ho 3.47, 3 Sm 3.47
Ho 0.0000 0.0000 0.0000  6 Li 3.24, 6 Sn 3.31, 2 Sm 3.47

---

(5)
DFT (GGA-PBE) results for an optimized crystal structure of LiTbSmHo.

Output
E_form = 3.91 kcal/mol of atoms

Cell: 5.5077 5.5077 5.5077 Å, 60.00 60.00 60.00°
With the nearest neighbours (Å) after each atom.
Positions (direct):
Li 0.0000 0.0000 0.0000  4 Tb 3.37, 4 Sm 3.37
Sm 0.2500 0.2500 0.2500  4 Li 3.37, 4 Ho 3.37
Tb 0.7500 0.7500 0.7500  4 Li 3.37, 4 Ho 3.37
Ho 0.5000 0.5000 0.5000  4 Sm 3.37, 4 Tb 3.37

---

(6)
DFT (GGA-PBE) results for an optimized crystal structure of Li3SmHo2Te6.

Output
Energy relative to the elements, uncorrected = -29.74 kcal/mol of atoms

Cell: 7.5485 7.5485 7.4988 Å, 99.67 99.67 120.00°
With the nearest neighbours (Å) after each atom.
Positions (direct):
Sm 0.0000 0.0000 0.0000  6 Te 3.13-3.14
Te 0.7464 0.7464 0.2566  3 Li 3.01-3.06, 2 Ho 3.08, 1 Sm 3.14
Te 0.2536 0.2536 0.7435  3 Li 3.01-3.06, 2 Ho 3.08, 1 Sm 3.14
Te 0.0854 0.4245 0.2559  3 Li 3.02-3.07, 2 Ho 3.08, 1 Sm 3.13
Te 0.4245 0.0854 0.2559  3 Li 3.02-3.07, 2 Ho 3.08, 1 Sm 3.13
Te 0.9146 0.5755 0.7441  3 Li 3.02-3.07, 2 Ho 3.08, 1 Sm 3.13
Te 0.5755 0.9146 0.7441  3 Li 3.02-3.07, 2 Ho 3.08, 1 Sm 3.13
Li 0.1658 0.8342 0.5000  6 Te 3.02-3.07
Li 0.8342 0.1658 0.5000  6 Te 3.02-3.07
Li 0.5000 0.5000 0.5000  6 Te 3.01-3.07
Ho 0.6668 0.3332 0.0000  6 Te 3.08
Ho 0.3332 0.6668 0.0000  6 Te 3.08

---

(7)
DFT (GGA-PBE) results for an optimized crystal structure of Li4Sm3HoTe8.

Output
Energy relative to the elements, uncorrected = -29.84 kcal/mol of atoms

Cell: 8.7913 8.7139 8.7897 Å, 120.34 120.01 90.00°
With the nearest neighbours (Å) after each atom.
Positions (direct):
Te 0.2501 0.7576 0.5002  3 Li 3.05-3.09, 1 Ho 3.09, 2 Sm 3.14
Te 0.7499 0.2425 0.9920  3 Li 3.04-3.10, 1 Ho 3.09, 2 Sm 3.14
Te 0.2421 0.2425 0.9920  3 Li 3.04-3.10, 1 Ho 3.09, 2 Sm 3.14
Te 0.7536 0.7605 0.5073  3 Li 3.05, 3 Sm 3.14
Te 0.2464 0.2395 0.4927  3 Li 3.05, 3 Sm 3.14
Te 0.2501 0.7575 0.0080  3 Li 3.04-3.10, 1 Ho 3.09, 2 Sm 3.14
Te 0.7579 0.7575 0.0080  3 Li 3.04-3.10, 1 Ho 3.09, 2 Sm 3.14
Te 0.7499 0.2424 0.4998  3 Li 3.05-3.09, 1 Ho 3.09, 2 Sm 3.14
Sm 0.5000 0.5000 0.0000  6 Te 3.14
Sm 0.5000 0.5000 0.5000  6 Te 3.14
Sm 0.0000 0.5000 0.5000  6 Te 3.14
Li 0.5000 0.0000 0.5000  6 Te 3.04-3.05
Li 0.0000 0.0000 0.5000  6 Te 3.04-3.05
Li 0.0000 0.0000 0.0000  6 Te 3.05
Li 0.5000 0.0000 0.0000  6 Te 3.09-3.10
Ho 0.0000 0.5000 0.0000  6 Te 3.09

---

(8)
DFT (GGA-PBE) results for an optimized crystal structure of LiSmHo2Te4.

Output
Energy relative to the elements, uncorrected = -30.26 kcal/mol of atoms

Cell: 4.3306 7.5677 7.5527 Å, 109.16 90.00 90.00°
With the nearest neighbours (Å) after each atom.
Positions (direct):
Sm 0.0000 0.0000 0.0000  6 Te 3.12
Ho 0.5000 0.0000 0.5000  6 Te 3.11-3.13
Ho 0.0000 0.5000 0.5000  6 Te 3.05
Te 0.0000 0.2582 0.7525  3 Ho 3.05-3.11, 2 Li 3.05, 1 Sm 3.12
Te 0.5000 0.2597 0.2518  1 Li 3.03, 3 Ho 3.05-3.13, 2 Sm 3.12
Te 0.5000 0.7403 0.7482  1 Li 3.03, 3 Ho 3.05-3.13, 2 Sm 3.12
Te 0.0000 0.7418 0.2475  3 Ho 3.05-3.11, 2 Li 3.05, 1 Sm 3.12
Li 0.5000 0.5000 0.0000  6 Te 3.03-3.05

---

(9)
DFT (GGA-PBE) results for an optimized crystal structure of LiSm3Ho3Te8.

Output
Energy relative to the elements, uncorrected = -30.98 kcal/mol of atoms

Cell: 8.7321 8.7318 8.7577 Å, 119.90 90.00 120.00°
With the nearest neighbours (Å) after each atom.
Positions (direct):
Ho 0.5000 0.5000 0.5000  6 Te 3.06
Ho 0.5000 0.0000 0.5000  6 Te 3.06
Ho 0.0000 0.5000 0.5000  6 Te 3.06
Te 0.2485 0.9944 0.7430  2 Ho 3.06, 1 Li 3.07, 2 Sm 3.13
Te 0.7515 0.0056 0.2570  2 Ho 3.06, 1 Li 3.07, 2 Sm 3.13
Te 0.7459 0.9944 0.7430  2 Ho 3.06, 1 Li 3.07, 2 Sm 3.13
Te 0.2527 0.5053 0.2579  3 Ho 3.06, 3 Sm 3.13
Te 0.2485 0.4971 0.7429  2 Ho 3.06, 1 Li 3.07, 2 Sm 3.13
Te 0.7473 0.4947 0.7421  3 Ho 3.06, 3 Sm 3.13
Te 0.7515 0.5029 0.2571  2 Ho 3.06, 1 Li 3.07, 2 Sm 3.13
Te 0.2541 0.0056 0.2570  2 Ho 3.06, 1 Li 3.07, 2 Sm 3.13
Sm 0.0000 0.5000 0.0000  6 Te 3.13
Sm 0.5000 0.5000 0.0000  6 Te 3.13
Sm 0.0000 0.0000 0.0000  6 Te 3.13
Li 0.0000 0.0000 0.5000  6 Te 3.07

---

(10)
DFT (GGA-PBE) results for an optimized crystal structure of Li2SmHoTe4.

Output
Energy relative to the elements, uncorrected = -29.77 kcal/mol of atoms

Cell: 4.3746 7.5730 7.5031 Å, 109.63 90.00 90.00°
With the nearest neighbours (Å) after each atom.
Positions (direct):
Sm 0.0000 0.0000 0.0000  6 Te 3.13-3.14
Te 0.0000 0.2534 0.7444  3 Li 3.02-3.08, 2 Ho 3.09, 1 Sm 3.14
Te 0.0000 0.7466 0.2556  3 Li 3.02-3.08, 2 Ho 3.09, 1 Sm 3.14
Te 0.5000 0.7422 0.7415  3 Li 3.03-3.08, 1 Ho 3.08, 2 Sm 3.13
Te 0.5000 0.2578 0.2585  3 Li 3.03-3.08, 1 Ho 3.08, 2 Sm 3.13
Ho 0.5000 0.5000 0.0000  6 Te 3.08-3.09
Li 0.5000 0.0000 0.5000  6 Te 3.08
Li 0.0000 0.5000 0.5000  6 Te 3.02-3.03

---

(11)
DFT (GGA-PBE) results for an optimized crystal structure of LiSmHo2Tl4.

Output
E_form = -7.50 kcal/mol of atoms

Cell: 5.2471 5.2471 9.3774 Å, 73.75 73.75 60.00°
With the nearest neighbours (Å) after each atom.
Positions (direct):
Tl 0.8721 0.8721 0.3836  4 Ho 3.13-3.21, 3 Li 3.20, 1 Sm 3.40
Tl 0.6217 0.6217 0.1350  4 Ho 3.24-3.54, 1 Li 3.24, 3 Sm 3.26
Tl 0.3783 0.3783 0.8650  4 Ho 3.24-3.54, 1 Li 3.24, 3 Sm 3.26
Tl 0.1279 0.1279 0.6164  4 Ho 3.13-3.21, 3 Li 3.20, 1 Sm 3.40
Ho 0.7546 0.7546 0.7362  7 Tl 3.13-3.24
Ho 0.2454 0.2454 0.2638  7 Tl 3.13-3.24
Li 0.5000 0.5000 0.5000  8 Tl 3.20-3.24
Sm 0.0000 0.0000 0.0000  8 Tl 3.26-3.40

---

(12)
DFT (GGA-PBE) results for an optimized crystal structure of Li2SmHoTl4.

Output
E_form = -7.41 kcal/mol of atoms

Cell: 5.2128 5.2128 9.0133 Å, 73.19 73.19 60.00°
With the nearest neighbours (Å) after each atom.
Positions (direct):
Tl 0.3765 0.3765 0.8706  1 Ho 3.15, 4 Li 3.18-3.24, 3 Sm 3.20
Tl 0.1265 0.1265 0.6206  4 Li 3.13-3.20, 3 Ho 3.18, 1 Sm 3.22
Tl 0.8735 0.8735 0.3794  4 Li 3.13-3.20, 3 Ho 3.18, 1 Sm 3.22
Tl 0.6235 0.6235 0.1294  1 Ho 3.15, 4 Li 3.18-3.24, 3 Sm 3.20
Ho 0.5000 0.5000 0.5000  8 Tl 3.15-3.18
Sm 0.0000 0.0000 0.0000  8 Tl 3.20-3.22
Li 0.2495 0.2495 0.2516  8 Tl 3.13-3.24
Li 0.7505 0.7505 0.7484  8 Tl 3.13-3.24

---

(13)
DFT (GGA-PBE) results for an optimized crystal structure of Li2Sm2HoTl2.

Output
E_form = -4.22 kcal/mol of atoms

Cell: 4.8368 4.8368 9.4947 Å, 75.24 75.24 60.00°
With the nearest neighbours (Å) after each atom.
Positions (direct):
Tl 0.7349 0.7349 0.7954  3 Li 2.81
Tl 0.2651 0.2651 0.2046  3 Li 2.81
Sm 0.1261 0.1261 0.6216  3 Tl 3.21, 3 Li 3.35, 1 Ho 3.43, 3 Sm 3.56
Sm 0.8739 0.8739 0.3784  3 Tl 3.21, 3 Li 3.35, 1 Ho 3.43, 3 Sm 3.56
Li 0.6085 0.6085 0.1745  3 Tl 2.81
Li 0.3915 0.3915 0.8255  3 Tl 2.81
Ho 0.0000 0.0000 0.0000  6 Li 3.21, 6 Tl 3.35, 2 Sm 3.43

---

(14)
DFT (GGA-PBE) results for an optimized crystal structure of LiSm2HoTl4.

Output
E_form = -7.81 kcal/mol of atoms

Cell: 5.2784 5.2784 9.4325 Å, 73.75 73.75 60.00°
With the nearest neighbours (Å) after each atom.
Positions (direct):
Tl 0.3756 0.3756 0.8732  3 Ho 3.25, 4 Sm 3.29-3.51, 1 Li 3.33
Tl 0.8737 0.8737 0.3789  4 Sm 3.17-3.21, 3 Li 3.23, 1 Ho 3.38
Tl 0.6244 0.6244 0.1268  3 Ho 3.25, 4 Sm 3.29-3.51, 1 Li 3.33
Tl 0.1263 0.1263 0.6211  4 Sm 3.17-3.21, 3 Li 3.23, 1 Ho 3.38
Sm 0.7554 0.7554 0.7338  8 Tl 3.17-3.51
Sm 0.2446 0.2446 0.2662  8 Tl 3.17-3.51
Li 0.5000 0.5000 0.5000  8 Tl 3.23-3.33
Ho 0.0000 0.0000 0.0000  8 Tl 3.25-3.38

---

(15)
DFT (GGA-PBE) results for an optimized crystal structure of LiSmYHo.

Output
E_form = 3.90 kcal/mol of atoms

Cell: 5.5133 5.5133 5.5133 Å, 60.00 60.00 60.00°
With the nearest neighbours (Å) after each atom.
Positions (direct):
Li 0.0000 0.0000 0.0000  4 Sm 3.38, 4 Y 3.38
Ho 0.5000 0.5000 0.5000  4 Y 3.38, 4 Sm 3.38
Y 0.2500 0.2500 0.2500  4 Li 3.38, 4 Ho 3.38
Sm 0.7500 0.7500 0.7500  4 Li 3.38, 4 Ho 3.38

---

(16)
DFT (GGA-PBE) results for an optimized crystal structure of LiHoSn.

Output
E_form = -14.88 kcal/mol of atoms

Cell: 9.3516 9.3516 7.2619 Å, 90.00 90.00 120.00°
With the nearest neighbours (Å) after each atom.
Positions (direct):
Li 0.8332 0.1668 0.7850  3 Sn 2.70-2.73
Li 0.8332 0.6665 0.7850  3 Sn 2.70-2.73
Li 0.3335 0.1668 0.7850  3 Sn 2.70-2.73
Li 0.1668 0.8332 0.2850  3 Sn 2.70-2.73
Li 0.1668 0.3335 0.2850  3 Sn 2.70-2.73
Li 0.6665 0.8332 0.2850  3 Sn 2.70-2.73
Li 0.3333 0.6667 0.6805  4 Sn 2.72-3.04
Li 0.6667 0.3333 0.1805  4 Sn 2.72-3.04
Ho 0.4891 0.5109 0.9940  6 Li 3.18-3.40, 6 Sn 3.18-3.34
Ho 0.5109 0.0218 0.4940  6 Li 3.18-3.40, 6 Sn 3.18-3.34
Ho 0.9782 0.4891 0.4940  6 Li 3.18-3.40, 6 Sn 3.18-3.34
Ho 0.4891 0.9782 0.9940  6 Li 3.18-3.40, 6 Sn 3.18-3.34
Ho 0.0000 0.0000 0.4991  6 Li 3.12-3.41, 6 Sn 3.18-3.33
Ho 0.5109 0.4891 0.4940  6 Li 3.18-3.40, 6 Sn 3.18-3.34
Ho 0.0000 0.0000 0.9991  6 Li 3.12-3.41, 6 Sn 3.18-3.33
Ho 0.0218 0.5109 0.9940  6 Li 3.18-3.40, 6 Sn 3.18-3.34
Sn 0.8333 0.1667 0.2311  3 Li 2.72-2.73
Sn 0.1667 0.8333 0.7311  3 Li 2.72-2.73
Sn 0.3333 0.6667 0.2612  3 Li 2.70
Sn 0.3335 0.1667 0.2311  3 Li 2.72-2.73
Sn 0.8333 0.6665 0.2311  3 Li 2.72-2.73
Sn 0.1667 0.3335 0.7311  3 Li 2.72-2.73
Sn 0.6667 0.3333 0.7612  3 Li 2.70
Sn 0.6665 0.8333 0.7311  3 Li 2.72-2.73

---

(17)
DFT (GGA-PBE) results for an optimized crystal structure of LiHo3Sn3.

Output
E_form = -14.88 kcal/mol of atoms

Cell: 4.5415 6.1035 14.0631 Å, 83.01 80.71 68.16°
With the nearest neighbours (Å) after each atom.
Positions (direct):
Ho 0.7409 0.7415 0.7767  6 Sn 3.11-3.37, 2 Li 3.43
Ho 0.4066 0.2680 0.9187  7 Sn 3.08-3.44
Ho 0.4660 0.6832 0.3848  6 Sn 3.13-3.31, 4 Li 3.21-3.41
Ho 0.5934 0.7320 0.0813  7 Sn 3.08-3.44
Ho 0.5340 0.3168 0.6152  6 Sn 3.13-3.31, 4 Li 3.21-3.41
Ho 0.2591 0.2585 0.2233  6 Sn 3.11-3.37, 2 Li 3.43
Sn 0.8622 0.7233 0.5523  3 Li 2.64-2.84
Sn 0.8677 0.1900 0.0745  2 Sn 2.98-3.08, 5 Ho 3.08-3.15
Sn 0.1323 0.8100 0.9255  2 Sn 2.98-3.08, 5 Ho 3.08-3.15
Sn 0.0272 0.1820 0.7636  1 Li 2.77, 1 Sn 2.98
Sn 0.1378 0.2767 0.4477  3 Li 2.64-2.84
Sn 0.9728 0.8180 0.2364  1 Li 2.77, 1 Sn 2.98
Li 0.2386 0.9208 0.6019  4 Sn 2.64-2.84
Li 0.7614 0.0792 0.3981  4 Sn 2.64-2.84

---

(18)
DFT (GGA-PBE) results for an optimized crystal structure of Li4HoSn5.

Output
E_form = -8.51 kcal/mol of atoms

Cell: 3.4913 3.4913 17.7648 Å, 90.00 90.00 90.00°
With the nearest neighbours (Å) after each atom.
Positions (direct):
Sn 0.5000 0.5000 0.5000  8 Li 3.00
Sn 0.5000 0.5000 0.6906  8 Li 2.97-2.99
Sn 0.5000 0.5000 0.1204  4 Li 3.00, 4 Ho 3.27
Sn 0.5000 0.5000 0.8796  4 Li 3.00, 4 Ho 3.27
Sn 0.5000 0.5000 0.3094  8 Li 2.97-2.99
Li 0.0000 0.0000 0.2161  8 Sn 2.97-3.00
Li 0.0000 0.0000 0.5956  8 Sn 2.99-3.00, 1 Li 3.35
Li 0.0000 0.0000 0.4044  8 Sn 2.99-3.00, 1 Li 3.35
Li 0.0000 0.0000 0.7839  8 Sn 2.97-3.00
Ho 0.0000 0.0000 0.0000  8 Sn 3.27, 4 Ho 3.49

---

(19)
DFT (GGA-PBE) results for an optimized crystal structure of LiHo2Sn3.

Output
E_form = -9.23 kcal/mol of atoms

Cell: 3.4153 5.4040 9.1697 Å, 107.14 100.73 90.00°
With the nearest neighbours (Å) after each atom.
Positions (direct):
Sn 0.0000 0.5000 0.0000  2 Li 2.70
Sn 0.1625 0.1625 0.3249  1 Li 2.79, 1 Ho 3.12
Sn 0.8375 0.8375 0.6751  1 Li 2.79, 1 Ho 3.12
Ho 0.3438 0.3438 0.6876  7 Sn 3.12-3.20, 2 Ho 3.42
Ho 0.6562 0.6562 0.3124  7 Sn 3.12-3.20, 2 Ho 3.42
Li 0.0000 0.0000 0.0000  4 Sn 2.70-2.79

---

(20)
DFT (GGA-PBE) results for an optimized crystal structure of Li2Ho5Sn4.

Output
E_form = -8.89 kcal/mol of atoms

Cell: 3.5566 8.3122 10.8465 Å, 112.51 99.44 90.00°
With the nearest neighbours (Å) after each atom.
Positions (direct):
Ho 0.1554 0.3676 0.3108  4 Sn 3.11-3.20, 2 Li 3.34
Ho 0.5000 0.0000 0.0000  4 Sn 3.15
Ho 0.1556 0.9432 0.3111  4 Sn 3.11-3.20, 2 Li 3.34
Ho 0.8446 0.6324 0.6892  4 Sn 3.11-3.20, 2 Li 3.34
Ho 0.8444 0.0568 0.6889  4 Sn 3.11-3.20, 2 Li 3.34
Sn 0.0001 0.6873 0.0002  4 Li 2.83, 1 Sn 3.11, 2 Ho 3.15
Sn 0.9999 0.3127 0.9998  4 Li 2.83, 1 Sn 3.11, 2 Ho 3.15
Sn 0.2854 0.2856 0.5708  1 Li 2.68
Sn 0.7146 0.7144 0.4292  1 Li 2.68
Li 0.5790 0.5789 0.1579  5 Sn 2.68-2.83
Li 0.4210 0.4211 0.8421  5 Sn 2.68-2.83

---

What spin magnetization values result from the calculations? In sequence: 0.00 0.00 0.00 0.00 0.00 0.00 0.00 0.00 0.00 0.00 0.00 0.00 0.00 0.00 0.00 0.00 0.00 0.00 0.00 0.00 μB/f.u..